i.
The following is a DFT calculation (PBE) of a geometry-optimized La3Be structure.

* space group: I4/mmm (139)

a b c (Å): 6.009 6.009 6.009
angles (deg): 132.94 132.94 68.75
Sites, in units of the cell vectors:
La: 0.000 0.000 0.000
La: 0.250 0.750 0.500
La: 0.750 0.250 0.500
Be: 0.500 0.500 0.000

---

ii.
The following is a DFT calculation (PBE) of a geometry-optimized La3Be structure.

* space group: P-6m2 (187)

a b c (Å): 3.823 3.823 10.156
angles (deg): 90.00 90.00 120.00
Sites, in units of the cell vectors:
La: 0.000 0.000 0.000
La: 0.667 0.333 0.303
La: 0.667 0.333 0.697
Be: 0.000 0.000 0.500

---

iii.
The following is a DFT calculation (PBE) of a geometry-optimized La3Be structure.

* space group: Immm (71)

a b c (Å): 6.715 6.715 6.715
angles (deg): 147.23 132.27 59.11
Sites, in units of the cell vectors:
La: 0.000 0.000 0.000
La: 0.296 0.796 0.500
La: 0.704 0.204 0.500
Be: 0.500 0.500 0.000

---

iv.
The following is a DFT calculation (PBE) of a geometry-optimized La3Be structure.

* space group: R-3m (166)

a b c (Å): 6.121 6.121 6.121
angles (deg): 115.94 115.94 115.94
Sites, in units of the cell vectors:
La: 0.000 0.500 0.500
La: 0.500 0.000 0.500
La: 0.500 0.500 0.000
Be: 0.000 0.000 0.000

---

Pick the most stable structure from those above. Pick: iii